SrZnNF2: optimized geometry, GGA-PBE.

a = 4.6654 Å, b = 4.6654 Å, c = 5.3312 Å
α = 90.00°, β = 90.00°, γ = 90.00°
Last column: nearest neighbours and their distance in Å.
Fractional positions:
Sr (0.0000, 0.0000, 0.0000)  4 F 2.33
Zn (0.5000, 0.5000, 0.5000)  4 N 3.30, 8 F 3.54
N (0.0000, 0.0000, 0.5000)  2 Sr 2.67
F (0.0000, 0.5000, 0.0000)  2 Sr 2.33
F (0.5000, 0.0000, 0.0000)  2 Sr 2.33

Computed properties:
Formation energy from raw total energies ... -0.93 eV per atom
Excess energy over the best structure of this formula in the dataset ... 686 meV/atom
Total magnetic moment ... 2.21 μB/cell
Total energy ... -0.289 Ry per atom


CsY2V: optimized geometry, GGA-PBE.

a = 7.9222 Å, b = 7.9222 Å, c = 7.9222 Å
α = 90.00°, β = 90.00°, γ = 90.00°
Last column: nearest neighbours and their distance in Å.
Fractional positions:
Cs (0.0000, 0.0000, 0.0000)  8 Y 3.43
Cs (0.0000, 0.5000, 0.5000)  8 Y 3.43
Cs (0.5000, 0.0000, 0.5000)  8 Y 3.43
Cs (0.5000, 0.5000, 0.0000)  8 Y 3.43
Y (0.2500, 0.2500, 0.2500)  4 Cs 3.43, 4 V 3.43
Y (0.2500, 0.2500, 0.7500)  4 Cs 3.43, 4 V 3.43
Y (0.2500, 0.7500, 0.2500)  4 Cs 3.43, 4 V 3.43
Y (0.2500, 0.7500, 0.7500)  4 Cs 3.43, 4 V 3.43
Y (0.7500, 0.2500, 0.2500)  4 Cs 3.43, 4 V 3.43
Y (0.7500, 0.2500, 0.7500)  4 Cs 3.43, 4 V 3.43
Y (0.7500, 0.7500, 0.2500)  4 Cs 3.43, 4 V 3.43
Y (0.7500, 0.7500, 0.7500)  4 Cs 3.43, 4 V 3.43
V (0.0000, 0.0000, 0.5000)  8 Y 3.43
V (0.0000, 0.5000, 0.0000)  8 Y 3.43
V (0.5000, 0.0000, 0.0000)  8 Y 3.43
V (0.5000, 0.5000, 0.5000)  8 Y 3.43

Computed properties:
Total magnetic moment ... 18.51 μB/cell
Total energy ... -0.354 Ry per atom


NaTl2SbCl6: optimized geometry, GGA-PBE.

a = 7.3565 Å, b = 7.7484 Å, c = 12.9037 Å
α = 90.00°, β = 124.49°, γ = 90.00°
Last column: nearest neighbours and their distance in Å.
Fractional positions:
Na (0.0000, 0.0000, 0.0000)  6 Cl 2.82-2.87
Na (0.0000, 0.5000, 0.5000)  6 Cl 2.82-2.87
Tl (0.2294, 0.0704, 0.7508)  6 Cl 3.24-3.51
Tl (0.2294, 0.4296, 0.2508)  6 Cl 3.24-3.51
Tl (0.7706, 0.5704, 0.7492)  6 Cl 3.24-3.51
Tl (0.7706, 0.9296, 0.2492)  6 Cl 3.24-3.51
Sb (0.5000, 0.0000, 0.5000)  6 Cl 2.68
Sb (0.5000, 0.5000, 0.0000)  6 Cl 2.68
Cl (0.1581, 0.1910, 0.4542)  1 Sb 2.68, 1 Na 2.87
Cl (0.1581, 0.3090, 0.9542)  1 Sb 2.68, 1 Na 2.87
Cl (0.2669, 0.7096, 0.4537)  1 Sb 2.68, 1 Na 2.86
Cl (0.2669, 0.7904, 0.9537)  1 Sb 2.68, 1 Na 2.86
Cl (0.3494, 0.0228, 0.2567)  1 Sb 2.68, 1 Na 2.82
Cl (0.3494, 0.4772, 0.7567)  1 Sb 2.68, 1 Na 2.82
Cl (0.6506, 0.5228, 0.2433)  1 Sb 2.68, 1 Na 2.82
Cl (0.6506, 0.9772, 0.7433)  1 Sb 2.68, 1 Na 2.82
Cl (0.7331, 0.2096, 0.0463)  1 Sb 2.68, 1 Na 2.86
Cl (0.7331, 0.2904, 0.5463)  1 Sb 2.68, 1 Na 2.86
Cl (0.8419, 0.6910, 0.0458)  1 Sb 2.68, 1 Na 2.87
Cl (0.8419, 0.8090, 0.5458)  1 Sb 2.68, 1 Na 2.87

Computed properties:
Formation energy from raw total energies ... -1.13 eV per atom
Total magnetic moment ... 0.00 μB/cell
Total energy ... -0.239 Ry per atom


PIO2: optimized geometry, GGA-PBE.

a = 4.7071 Å, b = 4.9940 Å, c = 4.9962 Å
α = 84.95°, β = 69.11°, γ = 72.34°
Last column: nearest neighbours and their distance in Å.
Fractional positions:
P (0.0000, 0.0000, 0.0000)  2 O 1.52-1.58
I (0.2944, 0.5132, 0.5135)  2 O 2.15-2.26
O (0.6872, 0.1891, 0.1948)  1 P 1.52
O (0.9141, 0.8177, 0.8144)  1 P 1.58

Computed properties:
Formation energy from raw total energies ... -0.85 eV per atom
Excess energy over the best structure of this formula in the dataset ... 416 meV/atom
Total magnetic moment ... 0.00 μB/cell
Total energy ... -0.373 Ry per atom


What is the total energy in the fourth record? -0.373 Ry per atom


Which formula does entry 1 have? SrZnNF2


Which of these has the highest total magnetic moment? CsY2V


Among the records above, which one has the lowest total energy? PIO2